Entry from Alexandria via LeMat-Bulk: RbPCl2 after structural relaxation (GGA-PBE).

Results
- ΔE to the lowest computed polymorph: 0.144 eV/atom
- Crystal system: trigonal
- Energy relative to the elements, uncorrected: -355 meV/atom
- Size of the total moment: 0.0 μB per formula unit

Cell: 4.7012 4.7012 17.0680 Å, 90.00 90.00 120.00°
Closest atoms and distances in Å follow each position.
Space group R-3m (No. 166, hexagonal axes)
Asymmetric unit:
1 Rb 0.0000 0.0000 0.0000 (multiplicity 3)  8 Cl 3.36-3.71
2 P 0.0000 0.0000 0.5000 (multiplicity 3)  6 Cl 2.85
3 Cl 0.0000 0.0000 0.2171 (multiplicity 6)  3 P 2.85